[1]
Ni2ICl2 | PBE | optimized geometry

```
Ni2ICl2
1.0
4.366 0.000 0.000
0.000 4.366 0.000
0.000 0.000 11.480
Ni I Cl
4 2 4
Direct
0.000 0.500 0.250
0.000 0.500 0.750
0.500 0.000 0.250
0.500 0.000 0.750
0.000 0.000 0.000
0.500 0.500 0.500
0.000 0.000 0.327
0.000 0.000 0.673
0.500 0.500 0.173
0.500 0.500 0.827
```

The total magnetic moment comes out at 3.0 μB/f.u. As for the space group: I4/mmm, No. 139. The value obtained for the formation energy from raw total energies is 0.066 eV per atom. Its energy above the most stable polymorph in this dataset is 0.000 eV per atom.

=====

[2]
Ni2I3Cl | PBE | optimized geometry

```
Ni2I3Cl
1.0
9.088 -1.931 0.000
9.088 1.931 0.000
-7.743 0.000 10.659
Ni I Cl
4 6 2
Direct
0.238 0.238 0.118
0.261 0.261 0.638
0.739 0.739 0.362
0.762 0.762 0.882
0.129 0.129 0.195
0.349 0.349 0.527
0.357 0.357 0.058
0.643 0.643 0.942
0.651 0.651 0.473
0.871 0.871 0.805
0.183 0.183 0.736
0.817 0.817 0.264
```

The total magnetic moment comes out at 4.0 μB/f.u. As for the space group: C2/m, No. 12. The value obtained for the formation energy from raw total energies is -0.192 eV per atom.

=====

[3]
NiI2Cl | PBE | optimized geometry

```
NiI2Cl
1.0
7.136 0.000 0.000
0.000 7.136 0.000
0.000 0.000 10.169
Ni I Cl
4 8 4
Direct
0.000 0.000 0.000
0.000 0.500 0.250
0.500 0.000 0.750
0.500 0.500 0.500
0.159 0.250 0.125
0.250 0.659 0.375
0.250 0.841 0.875
0.341 0.250 0.625
0.659 0.750 0.625
0.750 0.159 0.875
0.750 0.341 0.375
0.841 0.750 0.125
0.000 0.000 0.500
0.000 0.500 0.750
0.500 0.000 0.250
0.500 0.500 0.000
```

The total magnetic moment comes out at 0.0 μB/f.u. As for the space group: I-42d, No. 122. The value obtained for the formation energy from raw total energies is 0.100 eV per atom. Its energy above the most stable polymorph in this dataset is 0.180 eV per atom.

=====

[4]
NiICl | PBE | optimized geometry

```
NiICl
1.0
13.958 0.000 0.000
0.000 3.760 0.000
-1.604 0.000 6.205
Ni I Cl
4 4 4
Direct
0.250 0.000 0.236
0.250 0.500 0.764
0.750 0.000 0.764
0.750 0.500 0.236
0.136 0.500 0.356
0.364 0.000 0.644
0.636 0.000 0.356
0.864 0.500 0.644
0.157 0.000 0.867
0.343 0.500 0.133
0.657 0.500 0.867
0.843 0.000 0.133
```

The total magnetic moment comes out at 2.0 μB/f.u. As for the space group: C2/m, No. 12. The value obtained for the formation energy from raw total energies is -0.318 eV per atom. Its energy above the most stable polymorph in this dataset is 0.000 eV per atom.

=====

[5]
Ni2PICl | PBE | optimized geometry

```
Ni2PICl
1.0
4.735 0.000 0.000
0.000 4.735 0.000
0.000 0.000 5.520
Ni P I Cl
2 1 1 1
Direct
0.000 0.500 0.000
0.500 0.000 0.000
0.000 0.000 0.500
0.500 0.500 0.000
0.500 0.500 0.500
```

The total magnetic moment comes out at 2.1 μB/f.u. As for the space group: P4/mmm, No. 123. The value obtained for the formation energy from raw total energies is 1.298 eV per atom.

=====

[6]
Pr4NiI2Cl | PBE | optimized geometry

```
Pr4NiI2Cl
1.0
7.275 0.000 0.000
0.000 4.122 0.000
-2.473 0.000 8.002
Pr Ni I Cl
4 1 2 1
Direct
0.212 0.000 0.191
0.265 0.500 0.804
0.735 0.500 0.196
0.788 0.000 0.809
0.000 0.500 0.000
0.000 0.000 0.500
0.500 0.500 0.500
0.500 0.000 0.000
```

The total magnetic moment comes out at 0.0 μB/f.u. As for the space group: P2/m, No. 10. The value obtained for the formation energy from raw total energies is -0.907 eV per atom.

=====

[7]
Pr3NiICl | PBE | optimized geometry

```
Pr3NiICl
1.0
9.352 0.000 0.000
0.000 4.005 0.000
-1.422 0.000 9.863
Pr Ni I Cl
6 2 2 2
Direct
0.111 0.250 0.302
0.148 0.250 0.931
0.270 0.750 0.615
0.730 0.250 0.385
0.852 0.750 0.069
0.889 0.750 0.698
0.049 0.250 0.587
0.951 0.750 0.413
0.410 0.750 0.325
0.590 0.250 0.675
0.363 0.750 0.899
0.637 0.250 0.101
```

The total magnetic moment comes out at 0.0 μB/f.u. As for the space group: P2_1/m, No. 11. The value obtained for the formation energy from raw total energies is -0.887 eV per atom.

=====

[8]
Pr6Ni2I3Cl | PBE | optimized geometry

```
Pr6Ni2I3Cl
1.0
3.689 -6.391 0.000
3.689 6.391 0.000
-2.449 0.000 7.868
Pr Ni I Cl
6 2 3 1
Direct
0.075 0.436 0.811
0.202 0.202 0.187
0.436 0.075 0.811
0.564 0.925 0.189
0.798 0.798 0.813
0.925 0.564 0.189
0.167 0.833 0.000
0.833 0.167 0.000
0.000 0.000 0.500
0.339 0.661 0.500
0.661 0.339 0.500
0.500 0.500 0.000
```

The total magnetic moment comes out at 0.0 μB/f.u. As for the space group: C2/m, No. 12. The value obtained for the formation energy from raw total energies is -0.861 eV per atom.

=====

[9]
NiPtI2Cl | PBE | optimized geometry

```
NiPtI2Cl
1.0
5.290 0.000 0.000
0.000 5.290 0.000
0.000 0.000 4.302
Ni Pt I Cl
1 1 2 1
Direct
0.000 0.000 0.000
0.500 0.500 0.500
0.000 0.500 0.000
0.500 0.000 0.000
0.000 0.000 0.500
```

The total magnetic moment comes out at 0.0 μB/f.u. As for the space group: P4/mmm, No. 123. The value obtained for the formation energy from raw total energies is 0.513 eV per atom.

=====

[10]
Rb2NiI2Cl4 | PBE | optimized geometry

```
Rb2NiI2Cl4
1.0
-4.003 4.003 4.448
4.003 -4.003 4.448
4.003 4.003 -4.448
Rb Ni I Cl
2 1 2 4
Direct
0.250 0.750 0.500
0.750 0.250 0.500
0.000 0.000 0.000
0.338 0.338 0.000
0.662 0.662 0.000
0.194 0.194 0.388
0.194 0.806 0.000
0.806 0.194 0.000
0.806 0.806 0.612
```

The total magnetic moment comes out at 0.0 μB/f.u. As for the space group: I4/mmm, No. 139. The value obtained for the formation energy from raw total energies is -1.039 eV per atom.

=====

[11]
RbNiICl2 | PBE | optimized geometry

```
RbNiICl2
1.0
4.937 0.000 0.000
0.000 4.937 0.000
0.000 0.000 5.379
Rb Ni I Cl
1 1 1 2
Direct
0.000 0.000 0.000
0.500 0.500 0.500
0.500 0.500 0.000
0.000 0.500 0.500
0.500 0.000 0.500
```

The total magnetic moment comes out at 0.2 μB/f.u. As for the space group: P4/mmm, No. 123. The value obtained for the formation energy from raw total energies is -0.841 eV per atom.

=====

[12]
Rb2NiI6Cl | PBE | optimized geometry

```
Rb2NiI6Cl
1.0
-4.027 4.027 6.019
4.027 -4.027 6.019
4.027 4.027 -6.019
Rb Ni I Cl
2 1 6 1
Direct
0.250 0.750 0.500
0.750 0.250 0.500
0.000 0.000 0.000
0.215 0.215 0.000
0.233 0.233 0.467
0.233 0.767 0.000
0.767 0.233 0.000
0.767 0.767 0.533
0.785 0.785 0.000
0.500 0.500 0.000
```

The total magnetic moment comes out at 0.0 μB/f.u. As for the space group: I4/mmm, No. 139. The value obtained for the formation energy from raw total energies is -0.598 eV per atom.